The following is a PBE with a Hubbard U calculation of DyPaVO6 after structural relaxation, from Alexandria via LeMat-Bulk.

## Properties
As for the mass density: 7.48 g/cm3. The value obtained for the uncorrected energy is -8.662 eV/atom. The value obtained for the density of states at the Fermi level is 0.58 states/eV per atom. The total magnetization comes out at 0.1111 μB per atom.

Cell lengths 5.4062, 5.4062, 9.4816 Å; angles 90.00, 90.00, 120.00 degrees
With the nearest neighbours (Å) after each atom.
Fractional positions:
O  0.9584  0.3139  0.1320  1 V 1.98, 1 Pa 2.21
O  0.6446  0.9584  0.8680  1 V 1.98, 1 Pa 2.21
O  0.3554  0.0416  0.1320  1 V 1.98, 1 Pa 2.21
O  0.6861  0.0416  0.3680  1 V 1.98, 1 Pa 2.21
O  0.3139  0.9584  0.6320  1 V 1.98, 1 Pa 2.21
O  0.3139  0.3554  0.8680  1 V 1.98, 1 Pa 2.21
O  0.3554  0.3139  0.3680  1 V 1.98, 1 Pa 2.21
O  0.9584  0.6446  0.3680  1 V 1.98, 1 Pa 2.21
O  0.6446  0.6861  0.6320  1 V 1.98, 1 Pa 2.21
O  0.6861  0.6446  0.1320  1 V 1.98, 1 Pa 2.21
O  0.0416  0.3554  0.6320  1 V 1.98, 1 Pa 2.21
O  0.0416  0.6861  0.8680  1 V 1.98, 1 Pa 2.21
V  0.6667  0.3333  0.2500  6 O 1.98
V  0.3333  0.6667  0.7500  6 O 1.98
Dy  0.3333  0.6667  0.2500  6 O 2.27
Dy  0.6667  0.3333  0.7500  6 O 2.27
Pa  0.0000  0.0000  0.5000  6 O 2.21
Pa  0.0000  0.0000  0.0000  6 O 2.21